## CuHgBi2H (PBE)

Data for a relaxed CuHgBi2H crystal.

POSCAR file:
```
CuHgBi2H
1.0
5.614 0.000 0.000
0.000 5.614 0.000
0.000 0.000 3.364
Cu Hg Bi H
1 1 2 1
Direct
0.000 0.000 0.000
0.500 0.500 0.500
0.000 0.500 0.000
0.500 0.000 0.000
0.000 0.000 0.500
```

Properties
Space group: No. 123
Theoretical density in g cm⁻³: 10.7
Total DFT energy (no corrections) in eV per atom: -2.908